Record 1
! LiTiTl2Cu (PBE, relaxed); values from VASP
! Symmetry = P4/mmm (123)
! Mass density = 6.2 g/cm3
! E_form = 0.5619 eV per atom
&SYSTEM
  ibrav = 0, nat = 5, ntyp = 4
/
ATOMIC_SPECIES
Tl 204.38 Tl.upf
Li 6.94 Li.upf
Cu 63.55 Cu.upf
Ti 47.87 Ti.upf
CELL_PARAMETERS angstrom
5.4725 0.0000 0.0000
0.0000 4.7137 0.0000
0.0000 0.0000 5.4725
ATOMIC_POSITIONS angstrom
Tl 2.7363 0.0000 0.0000
Tl 0.0000 0.0000 2.7363
Li 2.7363 2.3569 2.7363
Cu 0.0000 2.3569 0.0000
Ti 0.0000 0.0000 0.0000

Record 2
! MgGa6Ni6 (PBE, relaxed); values from VASP
! Symmetry = Immm (71)
! Mass density = 7.5 g/cm3
! E_form = -0.3741 eV per atom
&SYSTEM
  ibrav = 0, nat = 13, ntyp = 3
/
ATOMIC_SPECIES
Ga 69.72 Ga.upf
Mg 24.30 Mg.upf
Ni 58.69 Ni.upf
CELL_PARAMETERS angstrom
-2.9185 -0.2164 -4.0448
1.9932 -4.3873 -4.2845
-4.5958 -4.4979 0.4756
ATOMIC_POSITIONS angstrom
Ga -0.2004 -4.4241 -2.6998
Ga -2.7101 -5.9365 -3.8891
Ga -4.1174 -7.4713 -5.8727
Ga -2.4023 -4.4611 -1.1090
Ga -2.8111 -3.1651 -3.9645
Ga -1.4038 -1.6304 -1.9810
Mg 0.0000 0.0000 0.0000
Ni -1.0610 -4.5223 -5.1547
Ni -2.2979 -2.2489 0.2378
Ni -4.4601 -4.5793 -2.6990
Ni -0.4627 -2.3019 -4.1646
Ni -3.7572 -2.3571 -1.7846
Ni 0.9966 -2.1937 -2.1423

What is the formula in the first record? LiTiTl2Cu

Number 2 is which compound? MgGa6Ni6